{
  "formula": "Pr2Y3HoSe6",
  "functional": "PBE",
  "state": "optimized geometry",
  "total_energy_ev_per_atom": -6.320,
  "formation_energy_uncorrected_kj_per_mol_fu": -2065,
  "crystal_system": "monoclinic",
  "total_magnetization_mub_per_atom": 0.00,
  "lattice": [[-2.483, -2.852, -1.622], [2.638, -5.524, 5.677], [-5.858, 5.339, 4.799]],
  "species": ["Pr", "Pr", "Y", "Y", "Y", "Ho", "Se", "Se", "Se", "Se", "Se", "Se"],
  "fractional_positions": [[0.831, 0.663, 0.662], [0.169, 0.337, 0.338], [0.500, 0.500, 0.000], [0.829, 0.166, 0.657], [0.171, 0.834, 0.343], [0.500, 0.000, 0.000], [0.336, 0.929, 0.673], [0.662, 0.592, 0.323], [0.664, 0.071, 0.327], [0.996, 0.245, 0.991], [0.004, 0.755, 0.009], [0.338, 0.408, 0.677]]
}